Entry 1:
Below is an optimized crystal structure of Pr2Al5Rh3, with properties calculated at the PBE-GGA level.

Cell: 8.6936 8.6936 8.6936 Å, 107.81 85.16 141.12°
Last column: nearest neighbours and their distance in Å.
Sites, in units of the cell vectors:
Pr  0.1414  0.2243  0.3657  9 Al 3.12-3.34, 4 Rh 3.19-3.30
Pr  0.3586  0.7243  0.0829  9 Al 3.12-3.34, 4 Rh 3.19-3.30
Pr  0.6414  0.2757  0.9171  9 Al 3.12-3.34, 4 Rh 3.19-3.30
Pr  0.8586  0.7757  0.6343  9 Al 3.12-3.34, 4 Rh 3.19-3.30
Al  0.0432  0.7500  0.2932  3 Rh 2.57-2.65, 2 Al 2.73
Al  0.0873  0.6696  0.7569  3 Rh 2.52-2.54, 2 Al 2.73
Al  0.2500  0.2500  0.0000  4 Rh 2.55
Al  0.4127  0.1696  0.5822  3 Rh 2.52-2.54, 2 Al 2.73
Al  0.4568  0.7500  0.7068  3 Rh 2.57-2.65, 2 Al 2.73
Al  0.5432  0.2500  0.2932  3 Rh 2.57-2.65, 2 Al 2.73
Al  0.5873  0.8304  0.4178  3 Rh 2.52-2.54, 2 Al 2.73
Al  0.7500  0.7500  0.0000  4 Rh 2.55
Al  0.9127  0.3304  0.2431  3 Rh 2.52-2.54, 2 Al 2.73
Al  0.9568  0.2500  0.7068  3 Rh 2.57-2.65, 2 Al 2.73
Rh  0.1456  0.9062  0.0517  5 Al 2.54-2.57
Rh  0.2500  0.7500  0.5000  6 Al 2.52-2.65
Rh  0.3544  0.4062  0.7606  5 Al 2.54-2.57
Rh  0.6456  0.5938  0.2394  5 Al 2.54-2.57
Rh  0.7500  0.2500  0.5000  6 Al 2.52-2.65
Rh  0.8544  0.0938  0.9483  5 Al 2.54-2.57

Computed properties:
crystal system = orthorhombic



Entry 2:
Below is an optimized crystal structure of Pr4AlRh, with properties calculated at the PBE-GGA level.

Cell: 9.9179 9.9179 9.9179 Å, 60.00 60.00 60.00°
Last column: nearest neighbours and their distance in Å.
Sites, in units of the cell vectors:
Pr  0.1861  0.1861  0.8139  2 Al 3.50, 2 Rh 3.60, 10 Pr 3.60-3.70
Pr  0.1861  0.8139  0.1861  2 Al 3.50, 2 Rh 3.60, 10 Pr 3.60-3.70
Pr  0.1861  0.8139  0.8139  2 Al 3.50, 2 Rh 3.60, 10 Pr 3.60-3.70
Pr  0.3991  0.3991  0.3991  3 Rh 2.94
Pr  0.3991  0.3991  0.8027  3 Rh 2.94
Pr  0.3991  0.8027  0.3991  3 Rh 2.94
Pr  0.5537  0.5537  0.9463  2 Rh 2.91
Pr  0.5537  0.9463  0.5537  2 Rh 2.91
Pr  0.5537  0.9463  0.9463  2 Rh 2.91
Pr  0.8027  0.3991  0.3991  3 Rh 2.94
Pr  0.8139  0.1861  0.1861  2 Al 3.50, 2 Rh 3.60, 10 Pr 3.60-3.70
Pr  0.8139  0.1861  0.8139  2 Al 3.50, 2 Rh 3.60, 10 Pr 3.60-3.70
Pr  0.8139  0.8139  0.1861  2 Al 3.50, 2 Rh 3.60, 10 Pr 3.60-3.70
Pr  0.9463  0.5537  0.5537  2 Rh 2.91
Pr  0.9463  0.5537  0.9463  2 Rh 2.91
Pr  0.9463  0.9463  0.5537  2 Rh 2.91
Al  0.1764  0.1764  0.1764  3 Al 2.92
Al  0.1764  0.1764  0.4707  3 Al 2.92
Al  0.1764  0.4707  0.1764  3 Al 2.92
Al  0.4707  0.1764  0.1764  3 Al 2.92
Rh  0.1748  0.6084  0.6084  6 Pr 2.91-2.94
Rh  0.6084  0.1748  0.6084  6 Pr 2.91-2.94
Rh  0.6084  0.6084  0.1748  6 Pr 2.91-2.94
Rh  0.6084  0.6084  0.6084  6 Pr 2.91-2.94

Computed properties:
crystal system = cubic
ΔE to the lowest computed polymorph = 0.000 eV per atom



Entry 3:
Below is an optimized crystal structure of PrAl2Rh, with properties calculated at the PBE-GGA level.

Cell: 3.1844 3.1844 7.5166 Å, 90.00 90.00 90.00°
Last column: nearest neighbours and their distance in Å.
Sites, in units of the cell vectors:
Pr  0.0000  0.0000  0.0000  4 Pr 3.18, 8 Al 3.28
Al  0.5000  0.5000  0.3167  4 Rh 2.64, 1 Al 2.76
Al  0.5000  0.5000  0.6833  4 Rh 2.64, 1 Al 2.76
Rh  0.0000  0.0000  0.5000  8 Al 2.64

Computed properties:
crystal system = tetragonal



Entry 4:
Below is an optimized crystal structure of PrAl3Rh3, with properties calculated at the PBE-GGA level.

Cell: 6.6638 6.6638 6.6638 Å, 90.00 90.00 90.00°
Last column: nearest neighbours and their distance in Å.
Sites, in units of the cell vectors:
Pr  0.0000  0.0000  0.0000  12 Al 3.73, 12 Rh 3.73
Pr  0.5000  0.5000  0.5000  12 Al 3.73, 12 Rh 3.73
Al  0.0000  0.2500  0.5000  4 Rh 2.36
Al  0.0000  0.7500  0.5000  4 Rh 2.36
Al  0.2500  0.5000  0.0000  4 Rh 2.36
Al  0.5000  0.0000  0.2500  4 Rh 2.36
Al  0.5000  0.0000  0.7500  4 Rh 2.36
Al  0.7500  0.5000  0.0000  4 Rh 2.36
Rh  0.0000  0.5000  0.2500  4 Al 2.36
Rh  0.0000  0.5000  0.7500  4 Al 2.36
Rh  0.2500  0.0000  0.5000  4 Al 2.36
Rh  0.5000  0.2500  0.0000  4 Al 2.36
Rh  0.5000  0.7500  0.0000  4 Al 2.36
Rh  0.7500  0.0000  0.5000  4 Al 2.36

Computed properties:
crystal system = cubic



Entry 5:
Below is an optimized crystal structure of Pr3Al9Rh2, with properties calculated at the PBE-GGA level.

Cell: 8.3471 8.3471 8.3471 Å, 149.57 107.57 80.55°
Last column: nearest neighbours and their distance in Å.
Sites, in units of the cell vectors:
Pr  0.0000  0.0000  0.0000  12 Al 3.21-3.25
Pr  0.2991  0.2991  0.0000  2 Rh 3.16, 10 Al 3.19-3.37
Pr  0.7009  0.7009  0.0000  2 Rh 3.16, 10 Al 3.19-3.37
Al  0.0122  0.6535  0.3587  1 Rh 2.58, 3 Al 2.62-2.79
Al  0.1570  0.8747  0.2823  4 Al 2.62-2.92, 2 Rh 2.73
Al  0.2948  0.6535  0.6413  1 Rh 2.58, 3 Al 2.62-2.79
Al  0.4076  0.1253  0.2823  4 Al 2.62-2.92, 2 Rh 2.73
Al  0.5000  0.0000  0.5000  4 Al 2.68, 4 Rh 2.87
Al  0.5924  0.8747  0.7177  4 Al 2.62-2.92, 2 Rh 2.73
Al  0.7052  0.3465  0.3587  1 Rh 2.58, 3 Al 2.62-2.79
Al  0.8430  0.1253  0.7177  4 Al 2.62-2.92, 2 Rh 2.73
Al  0.9878  0.3465  0.6413  1 Rh 2.58, 3 Al 2.62-2.79
Rh  0.3123  0.5000  0.8123  8 Al 2.58-2.87
Rh  0.6877  0.5000  0.1877  8 Al 2.58-2.87

Computed properties:
crystal system = orthorhombic



Entry 6:
Below is an optimized crystal structure of Pr4AlRh, with properties calculated at the PBE-GGA level.

Cell: 8.3898 8.3898 6.1984 Å, 103.94 103.94 114.96°
Last column: nearest neighbours and their distance in Å.
Sites, in units of the cell vectors:
Pr  0.0654  0.6963  0.9186  2 Rh 3.17-3.20, 2 Al 3.23-3.27, 1 Pr 3.49
Pr  0.2162  0.3531  0.6737  2 Rh 2.89-2.98
Pr  0.3037  0.9346  0.5814  2 Rh 3.17-3.20, 2 Al 3.23-3.27, 1 Pr 3.49
Pr  0.3531  0.2162  0.1737  2 Rh 2.89-2.98
Pr  0.6469  0.7838  0.8263  2 Rh 2.89-2.98
Pr  0.6963  0.0654  0.4186  2 Rh 3.17-3.20, 2 Al 3.23-3.27, 1 Pr 3.49
Pr  0.7838  0.6469  0.3263  2 Rh 2.89-2.98
Pr  0.9346  0.3037  0.0814  2 Rh 3.17-3.20, 2 Al 3.23-3.27, 1 Pr 3.49
Al  0.3756  0.6244  0.2500  8 Pr 3.23-3.31
Al  0.6244  0.3756  0.7500  8 Pr 3.23-3.31
Rh  0.9996  0.0004  0.2500  8 Pr 2.89-3.20, 2 Rh 3.10
Rh  0.0004  0.9996  0.7500  8 Pr 2.89-3.20, 2 Rh 3.10

Computed properties:
crystal system = monoclinic
ΔE to the lowest computed polymorph = 0.074 eV per atom



Entry 7:
Below is an optimized crystal structure of Pr8AlRh2, with properties calculated at the PBE-GGA level.

Cell: 8.2717 8.2717 5.6965 Å, 98.65 98.65 115.54°
Last column: nearest neighbours and their distance in Å.
Sites, in units of the cell vectors:
Pr  0.0000  0.0000  0.0000  4 Pr 3.27-3.57, 1 Al 3.29, 2 Rh 3.44
Pr  0.0588  0.3040  0.6265  2 Rh 2.93-2.96
Pr  0.1486  0.6302  0.1856  2 Rh 2.93
Pr  0.3040  0.0588  0.6265  2 Rh 2.93-2.96
Pr  0.4730  0.7184  0.7454  2 Rh 2.94-2.96
Pr  0.6302  0.1486  0.1856  2 Rh 2.93
Pr  0.7184  0.4730  0.7454  2 Rh 2.94-2.96
Pr  0.7766  0.7766  0.3712  4 Pr 3.27-3.57, 1 Al 3.29, 2 Rh 3.43
Al  0.3884  0.3884  0.1852  8 Pr 3.29-3.63
Rh  0.0978  0.6784  0.6851  6 Pr 2.93-2.96
Rh  0.6784  0.0978  0.6851  6 Pr 2.93-2.96

Computed properties:
crystal system = monoclinic



Entry 8:
Below is an optimized crystal structure of Pr2Al9Rh3, with properties calculated at the PBE-GGA level.

Cell: 7.6258 7.6258 9.6410 Å, 90.00 90.00 60.78°
Last column: nearest neighbours and their distance in Å.
Sites, in units of the cell vectors:
Pr  0.0048  0.6716  0.7500  11 Al 3.10-3.20, 2 Rh 3.46
Pr  0.3284  0.9952  0.7500  11 Al 3.10-3.20, 2 Rh 3.46
Pr  0.6716  0.0048  0.2500  11 Al 3.10-3.20, 2 Rh 3.46
Pr  0.9952  0.3284  0.2500  11 Al 3.10-3.20, 2 Rh 3.46
Al  0.0032  0.6642  0.0734  3 Rh 2.61-2.65, 4 Al 2.77-2.90
Al  0.0032  0.6642  0.4266  3 Rh 2.61-2.65, 4 Al 2.77-2.90
Al  0.1319  0.8681  0.2500  2 Rh 2.62, 6 Al 2.77-2.79
Al  0.3341  0.6659  0.5444  3 Rh 2.61-2.62, 3 Al 2.70-2.77
Al  0.3341  0.6659  0.9556  3 Rh 2.61-2.62, 3 Al 2.70-2.77
Al  0.3358  0.9968  0.0734  3 Rh 2.61-2.65, 4 Al 2.77-2.90
Al  0.3358  0.9968  0.4266  3 Rh 2.61-2.65, 4 Al 2.77-2.90
Al  0.3403  0.4522  0.2500  2 Rh 2.60, 4 Al 2.73-2.84
Al  0.4522  0.3403  0.7500  2 Rh 2.60, 4 Al 2.73-2.84
Al  0.5478  0.6597  0.2500  2 Rh 2.60, 4 Al 2.73-2.84
Al  0.6597  0.5478  0.7500  2 Rh 2.60, 4 Al 2.73-2.84
Al  0.6642  0.0032  0.5734  3 Rh 2.61-2.65, 4 Al 2.77-2.90
Al  0.6642  0.0032  0.9266  3 Rh 2.61-2.65, 4 Al 2.77-2.90
Al  0.6659  0.3341  0.0444  3 Rh 2.61-2.62, 3 Al 2.70-2.77
Al  0.6659  0.3341  0.4556  3 Rh 2.61-2.62, 3 Al 2.70-2.77
Al  0.8681  0.1319  0.7500  2 Rh 2.62, 6 Al 2.77-2.79
Al  0.9968  0.3358  0.5734  3 Rh 2.61-2.65, 4 Al 2.77-2.90
Al  0.9968  0.3358  0.9266  3 Rh 2.61-2.65, 4 Al 2.77-2.90
Rh  0.0000  0.0000  0.0000  8 Al 2.61-2.65
Rh  0.0000  0.0000  0.5000  8 Al 2.61-2.65
Rh  0.3291  0.3291  0.0000  8 Al 2.60-2.65
Rh  0.3291  0.3291  0.5000  8 Al 2.60-2.65
Rh  0.6709  0.6709  0.0000  8 Al 2.60-2.65
Rh  0.6709  0.6709  0.5000  8 Al 2.60-2.65

Computed properties:
crystal system = orthorhombic



Entry 9:
Below is an optimized crystal structure of PrAlRh, with properties calculated at the PBE-GGA level.

Cell: 4.3271 4.3271 4.1255 Å, 90.00 90.00 120.00°
Last column: nearest neighbours and their distance in Å.
Sites, in units of the cell vectors:
Pr  0.0000  0.0000  0.0000  6 Al 3.24, 6 Rh 3.24
Al  0.6667  0.3333  0.5000  3 Rh 2.50
Rh  0.3333  0.6667  0.5000  3 Al 2.50

Computed properties:
crystal system = hexagonal



Entry 10:
Below is an optimized crystal structure of PrAl11Rh, with properties calculated at the PBE-GGA level.

Cell: 6.8668 6.8668 7.2601 Å, 97.09 97.09 135.54°
Last column: nearest neighbours and their distance in Å.
Sites, in units of the cell vectors:
Pr  0.0000  0.0000  0.0000  18 Al 3.33-3.63, 2 Rh 3.71
Al  0.0000  0.0000  0.5000  2 Rh 2.60, 8 Al 2.70-2.75
Al  0.0000  0.5000  0.0000  8 Al 2.60-2.90
Al  0.0069  0.3576  0.3593  8 Al 2.71-2.99, 1 Rh 2.76
Al  0.2795  0.4995  0.7696  1 Rh 2.62, 7 Al 2.70-2.93
Al  0.3576  0.0069  0.3593  8 Al 2.71-2.99, 1 Rh 2.76
Al  0.5000  0.0000  0.0000  8 Al 2.60-2.90
Al  0.4995  0.2795  0.7696  1 Rh 2.62, 7 Al 2.70-2.93
Al  0.5005  0.7205  0.2304  1 Rh 2.62, 7 Al 2.70-2.93
Al  0.6424  0.9931  0.6407  8 Al 2.71-2.99, 1 Rh 2.76
Al  0.7205  0.5005  0.2304  1 Rh 2.62, 7 Al 2.70-2.93
Al  0.9931  0.6424  0.6407  8 Al 2.71-2.99, 1 Rh 2.76
Rh  0.5000  0.5000  0.5000  10 Al 2.60-2.76

Computed properties:
crystal system = monoclinic



Entry 11:
Below is an optimized crystal structure of Pr3AlRh3, with properties calculated at the PBE-GGA level.

Cell: 5.8160 5.8160 14.1644 Å, 90.00 90.00 138.67°
Last column: nearest neighbours and their distance in Å.
Sites, in units of the cell vectors:
Pr  0.0170  0.9830  0.7500  7 Rh 3.05-3.15
Pr  0.2923  0.7077  0.6069  6 Rh 2.95-3.14
Pr  0.2923  0.7077  0.8931  6 Rh 2.95-3.14
Pr  0.7077  0.2923  0.1069  6 Rh 2.95-3.14
Pr  0.7077  0.2923  0.3931  6 Rh 2.95-3.14
Pr  0.9830  0.0170  0.2500  7 Rh 3.05-3.15
Al  0.0000  0.0000  0.0000  4 Rh 2.53
Al  0.0000  0.0000  0.5000  4 Rh 2.53
Rh  0.2632  0.7368  0.2500  2 Rh 2.90, 7 Pr 2.95-3.15
Rh  0.4249  0.5751  0.0871  2 Al 2.53
Rh  0.4249  0.5751  0.4129  2 Al 2.53
Rh  0.5751  0.4249  0.5871  2 Al 2.53
Rh  0.5751  0.4249  0.9129  2 Al 2.53
Rh  0.7368  0.2632  0.7500  2 Rh 2.90, 7 Pr 2.95-3.15

Computed properties:
crystal system = orthorhombic



Entry 12:
Below is an optimized crystal structure of PrAl3Rh, with properties calculated at the PBE-GGA level.

Cell: 4.3544 4.3544 5.2912 Å, 90.00 90.00 90.00°
Last column: nearest neighbours and their distance in Å.
Sites, in units of the cell vectors:
Pr  0.0000  0.0000  0.0000  12 Al 3.26-3.48, 4 Rh 3.38
Al  0.0000  0.5000  0.4879  2 Rh 2.48, 2 Al 2.72
Al  0.5000  0.0000  0.4879  2 Rh 2.48, 2 Al 2.72
Al  0.5000  0.5000  0.7971  1 Rh 2.47, 4 Al 2.72
Rh  0.5000  0.5000  0.2646  5 Al 2.47-2.48

Computed properties:
crystal system = tetragonal



Q: Which energy of formation from the pure elements values were calculated for the entries above? A: -0.812; -0.401; -0.600; -0.375; -0.630; -0.327; -0.235; -0.808; -0.666; -0.306; -0.742; -0.650, in eV/atom.
Q: Which V values were calculated for the entries above? A: 18.97; 28.74; 19.06; 21.14; 19.66; 29.47; 30.67; 17.48; 22.30; 17.44; 22.60; 20.06, in Å³/atom.